First-principles (PBEsol) data for a relaxed structure of AgHgAu2, as listed in Alexandria.

POSCAR file:
```
AgHgAu2
1.0
2.942 0.000 0.000
1.471 2.548 0.000
1.471 0.849 9.527
Au Hg Ag
2 1 1
Cartesian
1.471 0.849 2.273
4.413 2.548 7.254
2.942 1.699 4.763
0.000 0.000 0.000
```

Results
Crystal system = trigonal
M_tot = 0.00 μB per cell
D(E_F) = 1.298 states/eV/f.u.
Formation energy = 2.23 kJ/mol of atoms